# 1
Compound: K3NaCd2F9
Source: Alexandria via LeMat-Bulk
Functional: PBE
Structure: optimized geometry

Calculated values
**DFT total energy**: -3.92 eV/atom
**Density of states at the Fermi level**: 5.5 states/eV per cell
**Crystal system**: trigonal

Cell and atoms, written as POSCAR:
```
K3NaCd2F9
1.0
-6.179 0.169 -0.695
2.470 -1.254 5.569
0.015 7.497 1.682
F Cd Na K
9 2 1 3
Direct
0.500 0.500 0.000
0.832 0.663 0.672
0.168 0.337 0.328
0.663 0.832 0.328
0.337 0.168 0.672
0.168 0.832 0.328
0.000 0.500 0.000
0.832 0.168 0.672
0.500 0.000 0.000
0.333 0.667 0.168
0.667 0.333 0.832
0.000 0.000 0.500
0.333 0.667 0.641
0.667 0.333 0.359
0.000 0.000 0.000
```

# 2
Compound: Rb3Ce3AuS8
Source: Alexandria via LeMat-Bulk
Functional: PBE
Structure: optimized geometry

Calculated values
**DFT total energy**: -5.22 eV/atom
**Density of states at the Fermi level**: 12.6 states/eV per cell
**Crystal system**: monoclinic

Cell and atoms, written as POSCAR:
```
Rb3Ce3AuS8
1.0
8.599 0.000 0.000
-4.299 6.850 0.081
0.000 -4.423 7.585
Rb S Ce Au
3 8 3 1
Direct
0.500 0.500 0.000
0.000 0.000 0.000
0.000 0.500 0.000
0.679 0.940 0.707
0.267 0.534 0.305
0.321 0.060 0.293
0.798 0.597 0.337
0.733 0.466 0.695
0.202 0.403 0.663
0.261 0.940 0.707
0.739 0.060 0.293
0.000 0.500 0.500
0.500 0.000 0.500
0.500 0.500 0.500
0.000 0.000 0.500
```

# 3
Compound: Nb3H12C4NCl9
Source: Alexandria via LeMat-Bulk
Functional: PBE
Structure: optimized geometry

Calculated values
**DFT total energy**: -5.21 eV/atom
**Crystal system**: trigonal

Cell and atoms, written as POSCAR:
```
Nb3H12C4NCl9
1.0
-3.390 2.760 7.894
4.665 -8.883 5.109
5.751 9.638 -0.901
Nb H Cl N C
6 24 18 2 8
Direct
0.138 0.819 0.909
0.862 0.909 0.091
0.862 0.909 0.819
0.138 0.091 0.909
0.862 0.181 0.091
0.138 0.091 0.181
0.325 0.648 0.512
0.675 0.136 0.488
0.487 0.595 0.190
0.675 0.512 0.864
0.325 0.648 0.136
0.325 0.488 0.136
0.104 0.720 0.440
0.325 0.864 0.512
0.675 0.352 0.488
0.487 0.810 0.405
0.896 0.280 0.720
0.675 0.352 0.864
0.513 0.190 0.595
0.487 0.595 0.405
0.104 0.720 0.280
0.513 0.405 0.595
0.896 0.440 0.720
0.675 0.136 0.648
0.896 0.280 0.560
0.325 0.488 0.352
0.325 0.864 0.352
0.104 0.560 0.280
0.513 0.405 0.810
0.675 0.512 0.648
0.000 0.693 0.000
0.703 0.804 0.609
0.000 0.307 0.000
0.000 0.307 0.307
0.688 0.797 0.898
0.688 0.102 0.898
0.688 0.102 0.203
0.000 0.000 0.307
0.000 0.000 0.693
0.312 0.203 0.102
0.312 0.898 0.102
0.703 0.804 0.196
0.703 0.391 0.196
0.297 0.196 0.804
0.297 0.196 0.391
0.000 0.693 0.693
0.312 0.898 0.797
0.297 0.609 0.804
0.690 0.333 0.667
0.310 0.667 0.333
0.366 0.812 0.406
0.143 0.667 0.333
0.366 0.594 0.188
0.634 0.406 0.594
0.857 0.333 0.667
0.366 0.594 0.406
0.634 0.188 0.594
0.634 0.406 0.812
```

# 4
Compound: VRuS3
Source: Alexandria via LeMat-Bulk
Functional: PBE
Structure: optimized geometry

Calculated values
**DFT total energy**: -5.62 eV/atom
**E above lowest polymorph**: 38 meV/atom
**Density of states at the Fermi level**: 7.2 states/eV per cell
**Crystal system**: cubic

Cell and atoms, written as POSCAR:
```
VRuS3
1.0
4.605 0.000 0.000
0.000 4.605 0.000
0.000 0.000 4.605
S V Ru
3 1 1
Direct
0.500 0.000 0.000
0.000 0.500 0.000
0.000 0.000 0.500
0.500 0.500 0.500
0.000 0.000 0.000
```